Here is crystalline LaIr2 at its relaxed geometry from the Alexandria database. Energies are from PBE-GGA.

```
6
Lattice="4.968 -2.669 0.000 4.968 2.669 0.000 0.000 0.000 4.718" Properties=species:S:1:pos:R:3 pbc="T T T"
La 4.968 1.359 3.538
La 4.968 -1.359 1.179
Ir 2.753 0.685 1.179
Ir 2.753 -0.685 3.538
Ir 7.183 0.685 1.179
Ir 7.183 -0.685 3.538
```

Output
- symmetry = Cmcm, No. 63
- energy relative to the elements (eV per atom) = -0.46
- calculated density (g/cm3) = 13.90
- E (eV per atom) = -8.013

Here is crystalline KTa3C at its relaxed geometry from the Alexandria database. Energies are from PBE-GGA.

```
5
Lattice="4.482 0.000 0.000 0.000 4.482 0.000 0.000 0.000 4.482" Properties=species:S:1:pos:R:3 pbc="T T T"
K 0.000 0.000 0.000
Ta 0.000 2.241 2.241
Ta 2.241 0.000 2.241
Ta 2.241 2.241 0.000
C 2.241 2.241 2.241
```

Output
- symmetry = Pm-3m, No. 221
- energy relative to the elements (eV per atom) = 0.98
- calculated density (g/cm3) = 10.95
- E (eV per atom) = -8.195

Here is crystalline LaSm5Ga6 at its relaxed geometry from the Alexandria database. Energies are from PBE-GGA.

```
12
Lattice="5.187 0.000 0.000 0.000 7.332 0.000 -2.580 0.000 7.797" Properties=species:S:1:pos:R:3 pbc="T T T"
La 0.000 0.000 0.000
Sm 0.000 3.666 0.000
Sm 0.009 0.000 5.189
Sm 0.009 3.666 5.242
Sm 2.598 3.666 2.555
Sm 2.599 0.000 2.609
Ga 0.005 1.873 2.648
Ga 0.005 5.459 2.648
Ga 2.594 1.864 0.000
Ga 2.594 5.468 0.000
Ga 2.602 1.873 5.149
Ga 2.602 5.459 5.149
```

Output
- symmetry = P2/m, No. 10
- energy relative to the elements (eV per atom) = -0.57
- calculated density (g/cm3) = 7.33
- E (eV per atom) = -4.458

Here is crystalline VRe2Pd at its relaxed geometry from the Alexandria database. Energies are from PBE-GGA.

```
4
Lattice="0.000 3.088 3.088 3.088 0.000 3.088 3.088 3.088 0.000" Properties=species:S:1:pos:R:3 pbc="T T T"
V 0.000 0.000 0.000
Re 1.544 1.544 1.544
Re 4.632 4.632 4.632
Pd 3.088 3.088 3.088
```

Output
- symmetry = Fm-3m, No. 225
- energy relative to the elements (eV per atom) = 0.29
- calculated density (g/cm3) = 14.94
- E (eV per atom) = -9.513

Here is crystalline LiC3I at its relaxed geometry from the Alexandria database. Energies are from PBE-GGA.

```
5
Lattice="3.961 0.000 0.000 0.000 3.961 0.000 0.000 0.000 3.961" Properties=species:S:1:pos:R:3 pbc="T T T"
Li 0.000 0.000 0.000
C 0.000 0.000 1.981
C 0.000 1.981 0.000
C 1.981 0.000 0.000
I 1.981 1.981 1.981
```

Output
- raw formation energy (eV per atom) = 3.136
- symmetry = Pm-3m, No. 221
- calculated density (g/cm3) = 4.54
- E (eV per atom) = -3.091

Here is crystalline KTcAgHg2 at its relaxed geometry from the Alexandria database. Energies are from PBE-GGA.

```
5
Lattice="6.056 0.000 0.000 0.000 6.056 0.000 0.000 0.000 5.825" Properties=species:S:1:pos:R:3 pbc="T T T"
K 0.000 0.000 0.000
Tc 3.028 3.028 2.913
Ag 0.000 0.000 2.913
Hg 0.000 3.028 0.000
Hg 3.028 0.000 0.000
```

Output
- symmetry = P4/mmm, No. 123
- energy relative to the elements (eV per atom) = 1.49
- calculated density (g/cm3) = 5.02
- E (eV per atom) = -1.493

Here is crystalline Bi2PdI at its relaxed geometry from the Alexandria database. Energies are from PBE-GGA.

```
4
Lattice="0.000 3.778 3.778 3.778 0.000 3.778 3.778 3.778 0.000" Properties=species:S:1:pos:R:3 pbc="T T T"
Bi 1.889 1.889 1.889
Bi 5.667 5.667 5.667
Pd 0.000 0.000 0.000
I 3.778 3.778 3.778
```

Output
- raw formation energy (eV per atom) = 0.317
- symmetry = Fm-3m, No. 225
- calculated density (g/cm3) = 10.03
- E (eV per atom) = -3.310

Here is crystalline ZnRe2Pd at its relaxed geometry from the Alexandria database. Energies are from PBE-GGA.

```
8
Lattice="-2.807 2.807 5.546 2.807 -2.807 5.546 2.807 2.807 -5.546" Properties=species:S:1:pos:R:3 pbc="T T T"
Zn 0.000 0.000 0.000
Zn 0.000 2.807 2.773
Re 1.403 -1.388 4.159
Re 1.419 1.403 1.386
Re 1.403 4.194 -1.386
Re 1.388 1.403 6.932
Pd 2.807 0.000 2.773
Pd 0.000 0.000 5.546
```

Output
- symmetry = I-42d, No. 122
- energy relative to the elements (eV per atom) = 2.15
- calculated density (g/cm3) = 10.35
- E (eV per atom) = -5.692

Here is crystalline HfAg2Pd5 at its relaxed geometry from the Alexandria database. Energies are from PBE-GGA.

```
8
Lattice="-2.046 2.046 7.839 2.046 -2.046 7.839 2.046 2.046 -7.839" Properties=species:S:1:pos:R:3 pbc="T T T"
Hf 0.000 0.000 0.000
Ag 0.000 0.000 3.940
Ag 0.000 0.000 11.739
Pd 2.046 0.000 1.901
Pd 2.046 0.000 5.939
Pd 0.000 0.000 7.839
Pd 0.000 2.046 1.901
Pd 0.000 2.046 5.939
```

Output
- symmetry = I4/mmm, No. 139
- energy relative to the elements (eV per atom) = -0.47
- calculated density (g/cm3) = 11.72
- E (eV per atom) = -5.677

Here is crystalline CoPPt2 at its relaxed geometry from the Alexandria database. Energies are from PBE-GGA.

```
4
Lattice="-1.388 1.804 5.679 1.388 -1.804 5.679 1.388 1.804 -5.679" Properties=species:S:1:pos:R:3 pbc="T T T"
Co 0.000 0.000 0.000
P 0.000 0.000 5.679
Pt 1.388 0.000 3.686
Pt 0.000 1.804 1.993
```

Output
- symmetry = Immm, No. 71
- energy relative to the elements (eV per atom) = -0.17
- calculated density (g/cm3) = 14.01
- E (eV per atom) = -6.317

Here is crystalline LiNdHg at its relaxed geometry from the Alexandria database. Energies are from PBE-GGA.

```
9
Lattice="7.336 0.000 0.000 -3.668 6.353 0.000 0.000 0.000 4.859" Properties=species:S:1:pos:R:3 pbc="T T T"
Li -2.826 4.894 0.000
Li 0.842 1.459 0.000
Li 5.652 0.000 0.000
Nd -1.565 2.711 2.429
Nd 3.130 0.000 2.429
Nd 2.103 3.643 2.429
Hg 0.000 0.000 2.429
Hg 0.000 4.236 0.000
Hg 3.668 2.118 0.000
```

Output
- symmetry = P-62m, No. 189
- energy relative to the elements (eV per atom) = -0.35
- calculated density (g/cm3) = 7.74
- E (eV per atom) = -2.675

Here is crystalline Co2TeCl at its relaxed geometry from the Alexandria database. Energies are from PBE-GGA.

```
4
Lattice="3.200 0.000 0.000 0.000 3.865 0.000 0.000 0.000 6.493" Properties=species:S:1:pos:R:3 pbc="T T T"
Co 0.000 0.000 0.000
Co 1.600 0.000 3.246
Te 0.000 1.932 3.246
Cl 1.600 1.932 0.000
```

Output
- raw formation energy (eV per atom) = 0.516
- symmetry = Pmmm, No. 47
- calculated density (g/cm3) = 5.81
- E (eV per atom) = -4.284

- calculated density of number 11 (LiNdHg)?
  7.74 g/cm3